[1]
GaAu2SF: optimized geometry, PBE.

The structure in POSCAR format:
```
GaAu2SF
1.0
4.9646 0.0000 0.0000
0.0000 4.9646 0.0000
0.0000 0.0000 3.9538
Ga Au S F
1 2 1 1
Cartesian
0.0000 0.0000 0.0000
0.0000 2.4823 0.0000
2.4823 0.0000 0.0000
2.4823 2.4823 1.9769
0.0000 0.0000 1.9769
```

Its symmetry is No. 123. As for the uncorrected formation energy: -0.07 eV per atom. The calculation puts the calculated volume at 97.45 Å³/cell.


[2]
ScGaAu2F: optimized geometry, PBE.

The structure in POSCAR format:
```
ScGaAu2F
1.0
5.3856 0.0000 0.0000
0.0000 5.3856 0.0000
0.0000 0.0000 3.9524
Sc Ga Au F
1 1 2 1
Cartesian
0.0000 0.0000 0.0000
2.6928 2.6928 1.9762
0.0000 2.6928 0.0000
2.6928 0.0000 0.0000
0.0000 0.0000 1.9762
```

Its symmetry is No. 123. As for the uncorrected formation energy: -0.85 eV per atom. The calculation puts the calculated volume at 114.64 Å³/cell.


[3]
ScGa2AuF: optimized geometry, PBE.

The structure in POSCAR format:
```
ScGa2AuF
1.0
4.9824 0.0000 0.0000
0.0000 4.9824 0.0000
0.0000 0.0000 4.3772
Sc Ga Au F
1 2 1 1
Cartesian
0.0000 0.0000 0.0000
0.0000 2.4912 2.1886
2.4912 0.0000 2.1886
2.4912 2.4912 2.1886
2.4912 2.4912 0.0000
```

Its symmetry is No. 123. As for the uncorrected formation energy: -0.14 eV per atom. The calculation puts the calculated volume at 108.66 Å³/cell.


[4]
GaAu2SeF: optimized geometry, PBE.

The structure in POSCAR format:
```
GaAu2SeF
1.0
5.0924 0.0000 0.0000
0.0000 5.0924 0.0000
0.0000 0.0000 4.3133
Ga Au Se F
1 2 1 1
Cartesian
0.0000 0.0000 0.0000
0.0000 2.5462 2.1566
2.5462 0.0000 2.1566
2.5462 2.5462 2.1566
2.5462 2.5462 0.0000
```

Its symmetry is No. 123. As for the uncorrected formation energy: -0.11 eV per atom. The calculation puts the calculated volume at 111.85 Å³/cell.